1.
## LiZnAu (GGA-PBEsol)

Data for LiZnAu after structural relaxation.

As for the volume: 18.097 A^3/atom. The final energy comes out at -8.151 eV for the cell shown. The value obtained for the mass density is 8.24 g cm⁻³. The value obtained for the density of states at the Fermi level is 0.388 states/eV per atom.

Lattice parameters (Å, degrees): 4.2502 4.2502 4.2502 60.00 60.00 60.00
Fractional coordinates of all 3 atoms:
Au 0.2500 0.2500 0.2500
Li 0.0000 0.0000 0.0000
Zn 0.5000 0.5000 0.5000

2.
## LiZrAu2 (GGA-PBEsol)

Data for LiZrAu2 after structural relaxation.

As for the volume: 17.346 A^3/atom. The final energy comes out at -21.085 eV for the cell shown. The value obtained for the mass density is 11.78 g cm⁻³. The value obtained for the density of states at the Fermi level is 0.657 states/eV per atom.

Lattice parameters (Å, degrees): 4.5808 4.6138 4.6138 60.37 60.24 60.24
Fractional coordinates of all 4 atoms:
Au 0.2462 0.7538 0.7538
Au 0.7538 0.2462 0.2462
Zr 0.0000 0.5000 0.5000
Li 0.5000 0.0000 0.0000

3.
## Li2ZrAu (GGA-PBEsol)

Data for Li2ZrAu after structural relaxation.

As for the volume: 15.225 A^3/atom. The final energy comes out at -17.283 eV for the cell shown. The value obtained for the mass density is 8.24 g cm⁻³. The value obtained for the density of states at the Fermi level is 0.802 states/eV per atom.

Lattice parameters (Å, degrees): 4.3212 4.4691 4.3212 61.09 90.00 118.91
Fractional coordinates of all 4 atoms:
Au 0.0000 0.0000 0.0000
Li 0.2500 0.5000 0.2500
Li 0.7500 0.5000 0.7500
Zr 0.5000 0.0000 0.5000

4.
## LiZrAu2 (GGA-PBEsol)

Data for LiZrAu2 after structural relaxation.

As for the volume: 17.782 A^3/atom. The final energy comes out at -20.890 eV for the cell shown. The value obtained for the mass density is 11.49 g cm⁻³. The value obtained for the density of states at the Fermi level is 0.518 states/eV per atom.

Lattice parameters (Å, degrees): 2.8796 4.9701 4.9701 90.62 90.00 90.00
Fractional coordinates of all 4 atoms:
Au 0.0000 0.5000 0.0000
Au 0.0000 0.0000 0.5000
Zr 0.5000 0.5000 0.5000
Li 0.5000 0.0000 0.0000

5.
## LiZrAu4 (GGA-PBEsol)

Data for LiZrAu4 after structural relaxation.

As for the volume: 18.358 A^3/atom. The final energy comes out at -28.191 eV for the cell shown. The value obtained for the mass density is 13.36 g cm⁻³. The value obtained for the density of states at the Fermi level is 0.603 states/eV per atom.

Lattice parameters (Å, degrees): 5.3806 5.3806 5.3806 60.00 60.00 60.00
Fractional coordinates of all 6 atoms:
Au 0.3753 0.3753 0.3753
Au 0.3753 0.3753 0.8742
Au 0.8742 0.3753 0.3753
Au 0.3753 0.8742 0.3753
Li 0.7500 0.7500 0.7500
Zr 0.0000 0.0000 0.0000

6.
## LiZrAu2 (GGA-PBEsol)

Data for LiZrAu2 after structural relaxation.

As for the volume: 16.683 A^3/atom. The final energy comes out at -21.014 eV for the cell shown. The value obtained for the mass density is 12.24 g cm⁻³. The value obtained for the density of states at the Fermi level is 0.643 states/eV per atom.

Lattice parameters (Å, degrees): 2.9857 3.2930 6.7872 90.00 90.00 90.00
Fractional coordinates of all 4 atoms:
Au 0.0000 0.0000 0.7806
Au 0.0000 0.0000 0.2194
Zr 0.5000 0.5000 0.5000
Li 0.5000 0.5000 0.0000

7.
## LiZrAu2 (GGA-PBEsol)

Data for LiZrAu2 after structural relaxation.

As for the volume: 17.513 A^3/atom. The final energy comes out at -20.949 eV for the cell shown. The value obtained for the mass density is 11.67 g cm⁻³. The value obtained for the density of states at the Fermi level is 0.571 states/eV per atom.

Lattice parameters (Å, degrees): 2.8633 4.8641 5.0298 90.00 90.00 90.00
Fractional coordinates of all 4 atoms:
Au 0.0000 0.0000 0.0613
Au 0.0000 0.5000 0.6732
Zr 0.5000 0.5000 0.1750
Li 0.5000 0.0000 0.5904

8.
## LiZrAu2 (GGA-PBEsol)

Data for LiZrAu2 after structural relaxation.

As for the volume: 17.693 A^3/atom. The final energy comes out at -20.685 eV for the cell shown. The value obtained for the mass density is 11.55 g cm⁻³. The value obtained for the density of states at the Fermi level is 0.500 states/eV per atom.

Lattice parameters (Å, degrees): 3.1155 4.8012 5.0559 99.86 107.94 90.00
Fractional coordinates of all 4 atoms:
Au 0.9960 0.0247 0.9919
Au 0.2550 0.7093 0.5101
Li 0.5115 0.5577 0.0229
Zr 0.7375 0.2083 0.4751

9.
## Li2ZrAu2 (GGA-PBEsol)

Data for Li2ZrAu2 after structural relaxation.

As for the volume: 15.709 A^3/atom. The final energy comes out at -46.190 eV for the cell shown. The value obtained for the mass density is 10.55 g cm⁻³. The value obtained for the density of states at the Fermi level is 0.487 states/eV per atom.

Lattice parameters (Å, degrees): 2.7946 7.4974 7.4974 90.00 90.00 90.00
Fractional coordinates of all 10 atoms:
Au 0.5000 0.1875 0.6875
Au 0.5000 0.6875 0.8125
Au 0.5000 0.8125 0.3125
Au 0.5000 0.3125 0.1875
Zr 0.0000 0.0000 0.0000
Zr 0.0000 0.5000 0.5000
Li 0.0000 0.3890 0.8890
Li 0.0000 0.8890 0.6110
Li 0.0000 0.6110 0.1110
Li 0.0000 0.1110 0.3890

10.
## Li2ZrAu (GGA-PBEsol)

Data for Li2ZrAu after structural relaxation.

As for the volume: 17.654 A^3/atom. The final energy comes out at -17.295 eV for the cell shown. The value obtained for the mass density is 7.10 g cm⁻³. The value obtained for the density of states at the Fermi level is 0.361 states/eV per atom.

Lattice parameters (Å, degrees): 2.9117 2.9117 9.7634 81.42 81.42 60.00
Fractional coordinates of all 4 atoms:
Au 0.5000 0.5000 0.5000
Li 0.2397 0.2397 0.2809
Li 0.7603 0.7603 0.7191
Zr 0.0000 0.0000 0.0000

11.
## LiZrAu2 (GGA-PBEsol)

Data for LiZrAu2 after structural relaxation.

As for the volume: 16.850 A^3/atom. The final energy comes out at -20.711 eV for the cell shown. The value obtained for the mass density is 12.12 g cm⁻³. The value obtained for the density of states at the Fermi level is 0.626 states/eV per atom.

Lattice parameters (Å, degrees): 4.1219 4.1219 4.9225 114.75 114.75 90.00
Fractional coordinates of all 4 atoms:
Au 0.0000 0.0000 0.0000
Au 0.7500 0.2500 0.5000
Li 0.5000 0.5000 0.0000
Zr 0.2500 0.7500 0.5000

12.
## LuAu2 (GGA-PBEsol)

Data for LuAu2 after structural relaxation.

As for the volume: 19.102 A^3/atom. The final energy comes out at -15.475 eV for the cell shown. The value obtained for the mass density is 16.49 g cm⁻³. The value obtained for the density of states at the Fermi level is 0.300 states/eV per atom.

Lattice parameters (Å, degrees): 3.6083 3.6083 5.0875 110.77 110.77 90.00
Fractional coordinates of all 3 atoms:
Lu 0.0000 0.0000 0.0000
Au 0.3351 0.3351 0.6702
Au 0.6649 0.6649 0.3298

13.
## Lu2Au (GGA-PBEsol)

Data for Lu2Au after structural relaxation.

As for the volume: 23.410 A^3/atom. The final energy comes out at -63.044 eV for the cell shown. The value obtained for the mass density is 12.93 g cm⁻³. The value obtained for the density of states at the Fermi level is 0.845 states/eV per atom.

Lattice parameters (Å, degrees): 4.7704 6.8485 8.5988 90.00 90.00 90.00
Fractional coordinates of all 12 atoms:
Lu 0.7500 0.6499 0.0784
Lu 0.2500 0.9854 0.1782
Lu 0.2500 0.4854 0.3218
Lu 0.7500 0.1499 0.4216
Lu 0.2500 0.8501 0.5784
Lu 0.7500 0.5146 0.6782
Lu 0.7500 0.0146 0.8218
Lu 0.2500 0.3501 0.9216
Au 0.7500 0.2423 0.0994
Au 0.7500 0.7423 0.4006
Au 0.2500 0.2577 0.5994
Au 0.2500 0.7577 0.9006

14.
## LuAu3 (GGA-PBEsol)

Data for LuAu3 after structural relaxation.

As for the volume: 18.316 A^3/atom. The final energy comes out at -39.300 eV for the cell shown. The value obtained for the mass density is 17.36 g cm⁻³. The value obtained for the density of states at the Fermi level is 0.350 states/eV per atom.

Lattice parameters (Å, degrees): 4.8996 5.0315 5.9437 90.00 90.00 90.00
Fractional coordinates of all 8 atoms:
Lu 0.0000 0.3442 0.0000
Lu 0.5000 0.6558 0.5000
Au 0.5000 0.6637 0.0000
Au 0.0000 0.3363 0.5000
Au 0.0000 0.8378 0.2547
Au 0.0000 0.8378 0.7453
Au 0.5000 0.1622 0.2453
Au 0.5000 0.1622 0.7547

15.
## Lu2RuAu (GGA-PBEsol)

Data for Lu2RuAu after structural relaxation.

As for the volume: 19.092 A^3/atom. The final energy comes out at -26.474 eV for the cell shown. The value obtained for the mass density is 14.09 g cm⁻³. The value obtained for the density of states at the Fermi level is 0.513 states/eV per atom.

Lattice parameters (Å, degrees): 4.7622 4.7622 4.7622 60.00 60.00 60.00
Fractional coordinates of all 4 atoms:
Ru 0.5000 0.5000 0.5000
Lu 0.7500 0.7500 0.7500
Lu 0.2500 0.2500 0.2500
Au 0.0000 0.0000 0.0000

16.
## LuSiAu (GGA-PBEsol)

Data for LuSiAu after structural relaxation.

As for the volume: 18.423 A^3/atom. The final energy comes out at -34.295 eV for the cell shown. The value obtained for the mass density is 12.02 g cm⁻³. The value obtained for the density of states at the Fermi level is 0.127 states/eV per atom.

Lattice parameters (Å, degrees): 4.2666 4.2666 7.0116 90.00 90.00 120.00
Fractional coordinates of all 6 atoms:
Si 0.0000 0.0000 0.2855
Si 0.0000 0.0000 0.7145
Lu 0.3333 0.6667 0.0000
Lu 0.3333 0.6667 0.5000
Au 0.6667 0.3333 0.7815
Au 0.6667 0.3333 0.2185

17.
## Lu2SnAu2 (GGA-PBEsol)

Data for Lu2SnAu2 after structural relaxation.

As for the volume: 21.438 A^3/atom. The final energy comes out at -52.553 eV for the cell shown. The value obtained for the mass density is 13.36 g cm⁻³. The value obtained for the density of states at the Fermi level is 0.285 states/eV per atom.

Lattice parameters (Å, degrees): 3.6600 7.6533 7.6533 90.00 90.00 90.00
Fractional coordinates of all 10 atoms:
Lu 0.5000 0.8317 0.6683
Lu 0.5000 0.3317 0.8317
Lu 0.5000 0.1683 0.3317
Lu 0.5000 0.6683 0.1683
Au 0.0000 0.1292 0.6292
Au 0.0000 0.6292 0.8708
Au 0.0000 0.3708 0.1292
Au 0.0000 0.8708 0.3708
Sn 0.0000 0.5000 0.5000
Sn 0.0000 0.0000 0.0000

18.
## Lu5Te2Au2 (GGA-PBEsol)

Data for Lu5Te2Au2 after structural relaxation.

As for the volume: 24.537 A^3/atom. The final energy comes out at -96.662 eV for the cell shown. The value obtained for the mass density is 11.46 g cm⁻³. The value obtained for the density of states at the Fermi level is 0.925 states/eV per atom.

Lattice parameters (Å, degrees): 7.6874 7.7079 8.3912 117.34 90.00 90.00
Fractional coordinates of all 18 atoms:
Lu 0.0000 0.0000 0.0000
Lu 0.5000 0.5000 0.0000
Lu 0.1609 0.5404 0.7563
Lu 0.8391 0.2160 0.7563
Lu 0.6609 0.7160 0.7563
Lu 0.3391 0.0404 0.7563
Lu 0.8391 0.4596 0.2437
Lu 0.1609 0.7840 0.2437
Lu 0.3391 0.2840 0.2437
Lu 0.6609 0.9596 0.2437
Te 0.0000 0.7918 0.5836
Te 0.5000 0.2918 0.5836
Te 0.0000 0.2082 0.4164
Te 0.5000 0.7082 0.4164
Au 0.3657 0.8637 0.0000
Au 0.6343 0.1363 0.0000
Au 0.8657 0.6363 0.0000
Au 0.1343 0.3637 0.0000

19.
## TmLuAu2 (GGA-PBEsol)

Data for TmLuAu2 after structural relaxation.

As for the volume: 21.066 A^3/atom. The final energy comes out at -21.262 eV for the cell shown. The value obtained for the mass density is 14.54 g cm⁻³. The value obtained for the density of states at the Fermi level is 0.487 states/eV per atom.

Lattice parameters (Å, degrees): 4.9210 4.9210 4.9210 60.00 60.00 60.00
Fractional coordinates of all 4 atoms:
Au 0.7500 0.7500 0.7500
Au 0.2500 0.2500 0.2500
Tm 0.0000 0.0000 0.0000
Lu 0.5000 0.5000 0.5000

20.
## Lu2ZnAu (GGA-PBEsol)

Data for Lu2ZnAu after structural relaxation.

As for the volume: 20.527 A^3/atom. The final energy comes out at -17.814 eV for the cell shown. The value obtained for the mass density is 12.38 g cm⁻³. The value obtained for the density of states at the Fermi level is 0.606 states/eV per atom.

Lattice parameters (Å, degrees): 4.8786 4.8786 4.8786 60.00 60.00 60.00
Fractional coordinates of all 4 atoms:
Zn 0.0000 0.0000 0.0000
Lu 0.2500 0.2500 0.2500
Lu 0.7500 0.7500 0.7500
Au 0.5000 0.5000 0.5000